Entry 1:
A relaxed structure of CeHo2ErTm, computed with PBE.

Cell and atoms, written as POSCAR:
```
CeHo2ErTm
1.0
5.780 0.000 0.000
0.000 7.596 0.000
0.000 0.000 7.186
Ce Ho Er Tm
2 4 2 2
Direct
0.000 0.000 0.000 Ce
0.500 0.000 0.000 Ce
0.250 0.293 0.322 Ho
0.250 0.707 0.322 Ho
0.750 0.293 0.678 Ho
0.750 0.707 0.678 Ho
0.250 0.500 0.845 Er
0.750 0.500 0.155 Er
0.250 0.000 0.613 Tm
0.750 0.000 0.387 Tm
```

Values from the calculation:
Formation enthalpy at 0 K, meV per atom: 309.0
Final energy, eV/atom: -4.516
DOS(E_F), states/eV/cell: 18.93
Calculated volume, A^3/atom: 31.55
SG: No. 51

***

Entry 2:
A relaxed structure of PrEuAgHg, computed with PBE.

Cell and atoms, written as POSCAR:
```
PrEuAgHg
1.0
7.387 0.000 0.000
0.000 7.387 0.000
0.000 0.000 7.387
Pr Eu Ag Hg
4 4 4 4
Direct
0.000 0.000 0.000 Pr
0.000 0.500 0.500 Pr
0.500 0.000 0.500 Pr
0.500 0.500 0.000 Pr
0.250 0.250 0.750 Eu
0.250 0.750 0.250 Eu
0.750 0.250 0.250 Eu
0.750 0.750 0.750 Eu
0.250 0.250 0.250 Ag
0.250 0.750 0.750 Ag
0.750 0.250 0.750 Ag
0.750 0.750 0.250 Ag
0.000 0.000 0.500 Hg
0.000 0.500 0.000 Hg
0.500 0.000 0.000 Hg
0.500 0.500 0.500 Hg
```

Values from the calculation:
Formation enthalpy at 0 K, meV per atom: -203.7
Final energy, eV/atom: -4.755
DOS(E_F), states/eV/cell: 3.82
Calculated volume, A^3/atom: 25.19
SG: No. 216

***

Entry 3:
A relaxed structure of Na3MgBi, computed with PBE.

Cell and atoms, written as POSCAR:
```
Na3MgBi
1.0
5.645 0.000 0.000
0.000 5.645 0.000
0.000 0.000 5.645
Na Mg Bi
3 1 1
Direct
0.000 0.000 0.500 Na
0.000 0.500 0.000 Na
0.500 0.000 0.000 Na
0.000 0.000 0.000 Mg
0.500 0.500 0.500 Bi
```

Values from the calculation:
Formation enthalpy at 0 K, meV per atom: 334.0
Final energy, eV/atom: -1.552
DOS(E_F), states/eV/cell: 1.15
Calculated volume, A^3/atom: 35.97
Polymorph energy (0 for the lowest one), meV per atom: 380
SG: No. 221